No. 1
VASP calculation (GGA-PBE) on an optimized crystal structure of RbLi2In.

The structure belongs to space group I-42d (No. 122); the cell edges are 5.603, 5.603 and 19.841 Å and the angles 90.00°, 90.00° and 90.00°. The inequivalent atoms are Rb at (0.000, 0.000, 0.000), Li at (0.003, 0.250, 0.625) and In at (0.000, 0.000, 0.500).

The density of states at the Fermi level comes out at 8.88 states/eV/cell. As for the calculated volume: 623 Å³/cell. The energy relative to the elements is 0.11 eV/atom. As for the theoretical density: 2.28 g cm⁻³.

=====

No. 2
VASP calculation (GGA-PBE) on an optimized crystal structure of MgNiHgPb2.

The structure belongs to space group P4/mmm (No. 123); the cell edges are 5.117, 5.117 and 5.004 Å and the angles 90.00°, 90.00° and 90.00°. The inequivalent atoms are Mg at (0.000, 0.000, 0.000), Ni at (0.000, 0.000, 0.500), Hg at (0.500, 0.500, 0.000) and Pb at (0.000, 0.500, 0.500).

The density of states at the Fermi level comes out at 2.47 states/eV/cell. As for the calculated volume: 131 Å³/cell. The energy relative to the elements is 0.04 eV/atom. As for the theoretical density: 8.85 g cm⁻³.

=====

No. 3
VASP calculation (GGA-PBE) on an optimized crystal structure of CeEr5Ru6.

The structure belongs to space group P2/m (No. 10); the cell edges are 4.798, 6.784 and 7.516 Å and the angles 90.00°, 108.41° and 90.00°. The inequivalent atoms are Ce at (0.000, 0.000, 0.000), Er at (0.000, 0.500, 0.000), Er at (0.330, 0.000, 0.660), Er at (0.333, 0.500, 0.665), Ru at (0.162, 0.245, 0.325) and Ru at (0.500, 0.243, 0.000).

The density of states at the Fermi level comes out at 8.32 states/eV/cell. As for the calculated volume: 232 Å³/cell. The energy relative to the elements is -0.43 eV/atom. As for the theoretical density: 11.32 g cm⁻³.

=====

No. 4
VASP calculation (GGA-PBE) on an optimized crystal structure of Rb6H3IBr2.

The structure belongs to space group C2/m (No. 12); the cell edges are 20.588, 4.667 and 9.471 Å and the angles 90.00°, 104.23° and 90.00°. The inequivalent atoms are Rb at (0.007, 0.000, 0.218), Rb at (0.161, 0.500, 0.099), Rb at (0.178, 0.500, 0.572), H at (0.000, 0.500, 0.000), H at (0.169, 0.000, 0.330), I at (0.000, 0.500, 0.500) and Br at (0.167, 0.000, 0.835).

The density of states at the Fermi level comes out at 0.00 states/eV/cell. The value obtained for the total energy is -2.61 eV per atom. As for the calculated volume: 882 Å³/cell. As for the theoretical density: 3.02 g cm⁻³.

=====

No. 5
VASP calculation (GGA-PBE) on an optimized crystal structure of Ac2TbSm3Y6.

The structure belongs to space group C2/m (No. 12); the cell edges are 6.355, 11.004 and 11.975 Å and the angles 90.00°, 100.16° and 90.00°. The inequivalent atoms are Ac at (0.000, 0.167, 0.000), Tb at (0.000, 0.500, 0.000), Sm at (0.000, 0.000, 0.500), Sm at (0.000, 0.333, 0.500), Y at (0.246, 0.500, 0.745) and Y at (0.250, 0.165, 0.745).

The density of states at the Fermi level comes out at 28.84 states/eV/cell. As for the calculated volume: 824 Å³/cell. The energy relative to the elements is 0.03 eV/atom. As for the theoretical density: 6.44 g cm⁻³.

=====

No. 6
VASP calculation (GGA-PBE) on an optimized crystal structure of Pr8CdCu2.

The structure belongs to space group Cm (No. 8); the cell edges are 8.951, 14.037 and 5.643 Å and the angles 90.00°, 106.92° and 90.00°. The inequivalent atoms are Pr at (0.000, 0.000, 0.000), Pr at (0.096, 0.377, 0.770), Pr at (0.195, 0.122, 0.614), Pr at (0.290, 0.500, 0.384), Pr at (0.394, 0.243, 0.192), Cd at (0.395, 0.000, 0.192) and Cu at (0.397, 0.309, 0.694).

The density of states at the Fermi level comes out at 32.93 states/eV/cell. As for the calculated volume: 678 Å³/cell. The energy relative to the elements is -0.01 eV/atom. As for the theoretical density: 6.69 g cm⁻³.

=====

No. 7
VASP calculation (GGA-PBE) on an optimized crystal structure of CeZnOs.

The structure belongs to space group C2/m (No. 12); the cell edges are 11.155, 4.511 and 5.128 Å and the angles 90.00°, 110.81° and 90.00°. The inequivalent atoms are Ce at (0.187, 0.000, 0.204), Zn at (0.014, 0.500, 0.758) and Os at (0.119, 0.000, 0.655).

The density of states at the Fermi level comes out at 11.88 states/eV/cell. As for the calculated volume: 241 Å³/cell. The energy relative to the elements is -0.15 eV/atom. As for the theoretical density: 10.90 g cm⁻³.

=====

No. 8
VASP calculation (GGA-PBE) on an optimized crystal structure of PrTmHgAu.

The structure belongs to space group F-43m (No. 216); the cell edges are 7.429, 7.429 and 7.429 Å and the angles 90.00°, 90.00° and 90.00°. The inequivalent atoms are Pr at (0.000, 0.000, 0.000), Tm at (0.000, 0.000, 0.500), Hg at (0.250, 0.250, 0.250) and Au at (0.250, 0.250, 0.750).

The density of states at the Fermi level comes out at 14.92 states/eV/cell. The energy above the most stable polymorph in this dataset is 34 meV per atom. As for the calculated volume: 410 Å³/cell. The energy relative to the elements is -0.61 eV/atom. As for the theoretical density: 11.46 g cm⁻³.

=====

No. 9
VASP calculation (GGA-PBE) on an optimized crystal structure of ZrSc2Mn.

The structure belongs to space group R3m (No. 160, hexagonal axes); the cell edges are 3.2124, 3.2124 and 27.8236 Å and the angles 90.00°, 90.00° and 120.00°. The inequivalent atoms are Zr at (0.0000, 0.0000, 0.0000), Sc at (0.0000, 0.0000, 0.5312), Sc at (0.0000, 0.0000, 0.7615) and Mn at (0.0000, 0.0000, 0.2669).

The density of states at the Fermi level comes out at 13.18 states/eV/cell. The energy above the most stable polymorph in this dataset is 166 meV per atom. As for the calculated volume: 249 Å³/cell. The energy relative to the elements is 0.20 eV/atom. As for the theoretical density: 4.73 g cm⁻³.

=====

No. 10
VASP calculation (GGA-PBE) on an optimized crystal structure of Be3Sb.

The structure belongs to space group R-3m (No. 166, hexagonal axes); the cell edges are 7.7605, 7.7605 and 3.3028 Å and the angles 90.00°, 90.00° and 120.00°. The inequivalent atoms are Be at (0.0000, 0.5000, 0.0000) and Sb at (0.0000, 0.0000, 0.0000).

The calculation puts the raw formation energy at 0.799 eV/atom. The density of states at the Fermi level comes out at 2.46 states/eV/cell. The energy above the most stable polymorph in this dataset is 409 meV per atom. As for the calculated volume: 172 Å³/cell. As for the theoretical density: 4.30 g cm⁻³.

=====

No. 11
VASP calculation (GGA-PBE) on an optimized crystal structure of Ac2NiSb3Ir4.

The structure belongs to space group P-4m2 (No. 115); the cell edges are 4.470, 4.470 and 10.895 Å and the angles 90.00°, 90.00° and 90.00°. The inequivalent atoms are Ac at (0.000, 0.500, 0.236), Ni at (0.500, 0.500, 0.000), Sb at (0.000, 0.000, 0.000), Sb at (0.000, 0.500, 0.636), Ir at (0.000, 0.000, 0.500), Ir at (0.000, 0.500, 0.875) and Ir at (0.500, 0.500, 0.500).

The calculation puts the raw formation energy at -0.536 eV/atom. The density of states at the Fermi level comes out at 8.34 states/eV/cell. As for the calculated volume: 218 Å³/cell. As for the theoretical density: 12.56 g cm⁻³.

=====

No. 12
VASP calculation (GGA-PBE) on an optimized crystal structure of Li4H2O.

The structure belongs to space group I4/mmm (No. 139); the cell edges are 3.707, 3.707 and 10.784 Å and the angles 90.00°, 90.00° and 90.00°. The inequivalent atoms are Li at (0.000, 0.000, 0.175), Li at (0.000, 0.500, 0.000), H at (0.000, 0.000, 0.347) and O at (0.000, 0.000, 0.000).

The density of states at the Fermi level comes out at 0.00 states/eV/cell. The energy above the most stable polymorph in this dataset is 79 meV per atom. As for the calculated volume: 148 Å³/cell. As for the theoretical density: 1.03 g cm⁻³.

=====

Question: Number 4 is which compound?
Answer: Rb6H3IBr2

=====

Question: Look up the calculated volume of the first one.
Answer: 623 Å³/cell

=====

Question: Among the records above, which one has the highest calculated volume?
Answer: Rb6H3IBr2